A plane-wave DFT calculation with GGA-PBE was carried out for an optimized crystal structure of Li2Cd4Ga3.

Cell lengths 4.384, 5.003, 9.033 Å; angles 75.85, 89.10, 66.42 degrees
Atoms (fractional coordinates):
Li  0.160  0.168  0.223
Li  0.840  0.832  0.777
Cd  0.167  0.168  0.887
Cd  0.493  0.494  0.331
Cd  0.507  0.506  0.669
Cd  0.833  0.832  0.113
Ga  0.167  0.164  0.556
Ga  0.500  0.500  0.000
Ga  0.833  0.836  0.444

## Properties
D(E_F)   2.40 states/eV/f.u.
Calculated total energy   -1.9569 eV/atom
Calculated formation energy   -0.116 eV per atom
Total moment   0.000 μB/f.u.

***

A plane-wave DFT calculation with GGA-PBE was carried out for an optimized crystal structure of Sr2MnBeAu6.

Cell lengths 6.611, 6.611, 7.077 Å; angles 117.72, 117.72, 60.07 degrees
Atoms (fractional coordinates):
Sr  0.218  0.218  0.153
Sr  0.782  0.782  0.847
Mn  0.500  0.500  0.000
Be  0.000  0.000  0.500
Au  0.240  0.240  0.668
Au  0.240  0.685  0.665
Au  0.315  0.760  0.335
Au  0.685  0.240  0.665
Au  0.760  0.315  0.335
Au  0.760  0.760  0.332

## Properties
D(E_F)   3.62 states/eV/f.u.
Calculated total energy   -4.0057 eV/atom
Calculated formation energy   -0.413 eV per atom
Total moment   4.052 μB/f.u.

***

A plane-wave DFT calculation with GGA-PBE was carried out for an optimized crystal structure of Dy2PdSe.

Cell lengths 4.009, 4.009, 21.538 Å; angles 90.00, 90.00, 120.00 degrees
Atoms (fractional coordinates):
Dy  0.000  0.000  0.000
Dy  0.000  0.000  0.182
Dy  0.333  0.667  0.667
Dy  0.333  0.667  0.849
Dy  0.667  0.333  0.333
Dy  0.667  0.333  0.516
Pd  0.000  0.000  0.591
Pd  0.333  0.667  0.258
Pd  0.667  0.333  0.925
Se  0.000  0.000  0.759
Se  0.333  0.667  0.426
Se  0.667  0.333  0.092

## Properties
D(E_F)   1.30 states/eV/f.u.
Calculated total energy   -5.6907 eV/atom
Distance to the lowest polymorph of the same formula   0.42 eV/f.u.
Total moment   0.000 μB/f.u.

***

A plane-wave DFT calculation with GGA-PBE was carried out for an optimized crystal structure of Ti2NbAl.

Cell lengths 4.194, 4.194, 3.830 Å; angles 90.00, 90.00, 90.00 degrees
Atoms (fractional coordinates):
Ti  0.000  0.500  0.000
Ti  0.500  0.000  0.000
Nb  0.000  0.000  0.500
Al  0.500  0.500  0.500

## Properties
D(E_F)   5.55 states/eV/f.u.
Calculated total energy   -7.6500 eV/atom
Calculated formation energy   -0.249 eV per atom
Total moment   0.000 μB/f.u.

***

A plane-wave DFT calculation with GGA-PBE was carried out for an optimized crystal structure of YZnOs.

Cell lengths 5.329, 5.373, 7.627 Å; angles 90.00, 90.00, 90.00 degrees
Atoms (fractional coordinates):
Y  0.000  0.250  0.117
Y  0.000  0.750  0.883
Y  0.500  0.250  0.383
Y  0.500  0.750  0.617
Zn  0.000  0.000  0.500
Zn  0.000  0.500  0.500
Zn  0.500  0.000  0.000
Zn  0.500  0.500  0.000
Os  0.250  0.250  0.750
Os  0.250  0.750  0.250
Os  0.750  0.250  0.750
Os  0.750  0.750  0.250

## Properties
D(E_F)   2.18 states/eV/f.u.
Calculated total energy   -6.6115 eV/atom
Calculated formation energy   -0.289 eV per atom
Total moment   0.000 μB/f.u.

***

A plane-wave DFT calculation with GGA-PBE was carried out for an optimized crystal structure of Sr4Sn2Pb5.

Cell lengths 8.148, 4.921, 9.616 Å; angles 90.00, 94.03, 90.00 degrees
Atoms (fractional coordinates):
Sr  0.221  0.000  0.370
Sr  0.239  0.000  0.901
Sr  0.761  0.000  0.099
Sr  0.779  0.000  0.630
Sn  0.088  0.500  0.135
Sn  0.912  0.500  0.865
Pb  0.139  0.500  0.627
Pb  0.458  0.500  0.161
Pb  0.500  0.500  0.500
Pb  0.542  0.500  0.839
Pb  0.861  0.500  0.373

## Properties
D(E_F)   5.01 states/eV/f.u.
Calculated total energy   -3.4637 eV/atom
Calculated formation energy   -0.439 eV per atom
Total moment   0.000 μB/f.u.

***

> Number 3 is which compound?

Dy2PdSe